# MoH12C2S4N2

A PBEsol-optimized structure of MoH12C2S4N2 (SCAN, Alexandria).

Structure (POSCAR):
```
MoH12C2S4N2
1.0
6.8697 0.0000 0.0000
0.0000 9.3221 0.0000
0.0000 0.0000 15.8721
H C S N Mo
48 8 16 8 4
Cartesian
0.8175 1.9547 12.5935
0.8753 1.2116 14.9108
2.5558 8.1816 6.2415
4.3139 5.8015 14.1776
6.0522 7.3674 3.2786
4.3102 3.4494 6.9747
1.7174 7.3209 9.0873
4.2523 2.7064 4.6574
2.6137 4.8590 3.7281
2.5595 5.8726 8.8973
5.1522 8.9837 9.4175
1.7174 3.3209 3.9603
2.6173 6.6157 11.2146
2.5558 3.5206 1.6945
5.9943 8.1105 0.9613
5.1522 6.0012 11.9118
4.2560 4.4631 12.1440
5.9906 1.1405 9.6305
0.8175 6.6157 11.2146
5.1522 8.9209 3.0946
5.1522 1.3402 11.8963
1.7174 5.0622 11.0306
0.8212 4.8590 3.7281
2.6173 1.9547 12.5935
1.7174 2.6598 14.7208
4.2560 9.1241 11.6641
5.1522 6.6622 1.1513
5.9906 5.8015 14.1776
5.1522 4.2598 4.8414
1.7174 4.9994 1.4814
6.0522 2.7064 4.6574
0.8753 5.8726 8.8973
6.0485 9.1241 11.6641
0.8212 0.1980 4.2079
1.7174 0.4012 12.7775
6.0485 4.4631 12.1440
4.3139 1.1405 9.6305
1.7174 0.3384 6.4546
0.8791 8.1816 6.2415
5.1522 4.3227 14.3906
4.2523 7.3674 3.2786
0.8791 3.5206 1.6945
2.5595 1.2116 14.9108
5.1522 2.0012 6.7847
4.3102 8.1105 0.9613
5.9943 3.4494 6.9747
1.7174 7.9819 3.9757
2.6137 0.1980 4.2079
5.1522 5.0319 12.4307
5.1522 0.3709 11.3774
5.1522 3.1839 5.0697
5.1522 7.8449 2.8663
1.7174 8.9512 4.4947
1.7174 1.4772 13.0057
1.7174 6.1382 10.8024
1.7174 4.2902 3.4413
0.0451 1.2979 1.5462
5.1522 4.4120 1.3738
6.8246 8.0241 14.3259
1.7174 0.2491 9.3098
5.1522 2.1403 14.4595
5.1522 9.0730 6.5622
3.3898 1.2979 1.5462
1.7174 2.5207 6.5235
3.4799 8.0241 14.3259
1.7174 7.1817 1.4126
1.7174 4.9101 14.4983
0.0451 5.9590 6.3898
5.1522 6.8014 9.3486
3.4799 3.3631 9.4822
3.3898 5.9590 6.3898
6.8246 3.3631 9.4822
5.1522 3.0172 6.5365
1.7174 6.3048 9.3356
5.1522 5.2490 13.8865
1.7174 4.0731 1.9856
1.7174 1.6438 14.4725
1.7174 8.7341 5.9505
5.1522 7.6783 1.3996
5.1522 0.5879 9.9216
5.1522 2.3097 0.7670
1.7174 7.0124 15.1051
5.1522 6.9707 7.1690
1.7174 2.3513 8.7031
```

Calculated values
**Total magnetization**: 0.000 μB per cell
**E_tot**: -7.662 eV/atom
**SG**: No. 62


# KCu3As2O10

A PBEsol-optimized structure of KCu3As2O10 (SCAN, Alexandria).

Structure (POSCAR):
```
KCu3As2O10
1.0
-1.8258 -4.9715 2.2271
3.2319 0.0209 -4.7502
5.7054 2.4754 4.8329
Cu O As K
3 10 2 1
Cartesian
1.6159 0.0104 -2.3751
0.0000 0.0000 0.0000
-0.9129 -2.4858 1.1136
6.3217 -0.6995 1.5948
4.5457 -0.6144 3.7389
3.3161 -2.9451 1.1166
2.5658 -1.8609 -1.4290
0.7898 -1.7758 0.7150
-0.2878 -4.1506 1.4734
3.7954 0.4698 1.1933
5.6088 1.8105 2.8740
7.3993 1.6753 0.8365
1.5027 -4.2858 -0.5641
4.9762 0.2244 2.3329
2.1352 -2.6997 -0.0230
1.9398 -1.2481 3.5300
```

Calculated values
**Total magnetization**: 2.043 μB per cell
**E_tot**: -10.831 eV/atom
**SG**: No. 12